[1]
Material: Dy2AlTl
Method: DFT, PBE-GGA
State: optimized geometry

For the formation energy, the calculation gives -0.88 eV per formula unit. The volume is 327.6 Å³/cell.

The structure belongs to space group R-3m (No. 166, hexagonal axes); the cell edges are 3.6598, 3.6598 and 28.2403 Å and the angles 90.00°, 90.00° and 120.00°. The distinct sites, in fractional coordinates, are Dy at (0.0000, 0.0000, 0.2451), Al at (0.0000, 0.0000, 0.5000) and Tl at (0.0000, 0.0000, 0.0000).


[2]
Material: Dy7Al5Tl
Method: DFT, PBE-GGA
State: optimized geometry

For the formation energy, the calculation gives -2.87 eV per formula unit. The volume is 664.5 Å³/cell.

The structure belongs to space group Imm2 (No. 44); the cell edges are 6.2677, 10.0058 and 10.5956 Å and the angles 90.00°, 90.00° and 90.00°. The distinct sites, in fractional coordinates, are Dy at (0.0000, 0.0000, 0.0000), Dy at (0.0000, 0.0000, 0.3579), Dy at (0.0000, 0.3206, 0.6110), Dy at (0.0000, 0.3241, 0.1038), Dy at (0.0000, 0.5000, 0.3470), Al at (0.0000, 0.5000, 0.8566), Al at (0.2247, 0.2484, 0.8631) and Tl at (0.0000, 0.0000, 0.6679).